Entry 1:
HfGe3Te | PBEsol | relaxed

```
HfGe3Te
1.0
5.1373 0.0000 0.0000
0.0000 5.1373 0.0000
0.0000 0.0000 5.1373
Hf Ge Te
1 3 1
direct
0.0000 0.0000 0.0000
0.0000 0.0000 0.5000
0.0000 0.5000 0.0000
0.5000 0.0000 0.0000
0.5000 0.5000 0.5000
```

Entry 2:
Hf2TiGe2 | PBEsol | relaxed

Formation energy from the elements (eV/atom): -0.755

```
Hf2TiGe2
1.0
6.8600 0.0000 0.0000
0.0000 6.8600 0.0000
0.0000 0.0000 3.7147
Hf Ti Ge
4 2 4
direct
0.1711 0.3289 0.0000
0.3289 0.8289 0.0000
0.6711 0.1711 0.0000
0.8289 0.6711 0.0000
0.0000 0.0000 0.5000
0.5000 0.5000 0.5000
0.1325 0.6325 0.5000
0.3675 0.1325 0.5000
0.6325 0.8675 0.5000
0.8675 0.3675 0.5000
```

Entry 3:
Hf2V3Ge | PBEsol | relaxed

Formation energy from the elements (eV/atom): -0.301

```
Hf2V3Ge
1.0
5.0922 0.0000 0.0000
-2.5461 4.4099 0.0000
0.0000 0.0000 8.4527
Hf V Ge
4 6 2
direct
0.3333 0.6667 0.0612
0.3333 0.6667 0.4388
0.6667 0.3333 0.5612
0.6667 0.3333 0.9388
0.1778 0.3557 0.7500
0.1778 0.8222 0.7500
0.3557 0.1778 0.2500
0.6443 0.8222 0.7500
0.8222 0.1778 0.2500
0.8222 0.6443 0.2500
0.0000 0.0000 0.0000
0.0000 0.0000 0.5000
```

Entry 4:
YHfGe2 | PBEsol | relaxed

Formation energy from the elements (eV/atom): -0.423

```
YHfGe2
1.0
6.8268 0.0000 0.0000
0.0000 6.8268 0.0000
0.0000 0.0000 6.8268
Y Hf Ge
4 4 8
direct
0.0000 0.0000 0.0000
0.0000 0.5000 0.5000
0.5000 0.0000 0.5000
0.5000 0.5000 0.0000
0.0000 0.0000 0.5000
0.0000 0.5000 0.0000
0.5000 0.0000 0.0000
0.5000 0.5000 0.5000
0.2500 0.2500 0.2500
0.2500 0.2500 0.7500
0.2500 0.7500 0.2500
0.2500 0.7500 0.7500
0.7500 0.2500 0.2500
0.7500 0.2500 0.7500
0.7500 0.7500 0.2500
0.7500 0.7500 0.7500
```

Entry 5:
Hf2ZnGe | PBEsol | relaxed

Formation energy from the elements (eV/atom): -0.259

```
Hf2ZnGe
1.0
6.5575 0.0000 0.0000
0.0000 6.5575 0.0000
0.0000 0.0000 6.5575
Hf Zn Ge
8 4 4
direct
0.2500 0.2500 0.2500
0.2500 0.2500 0.7500
0.2500 0.7500 0.2500
0.2500 0.7500 0.7500
0.7500 0.2500 0.2500
0.7500 0.2500 0.7500
0.7500 0.7500 0.2500
0.7500 0.7500 0.7500
0.0000 0.0000 0.0000
0.0000 0.5000 0.5000
0.5000 0.0000 0.5000
0.5000 0.5000 0.0000
0.0000 0.0000 0.5000
0.0000 0.5000 0.0000
0.5000 0.0000 0.0000
0.5000 0.5000 0.5000
```

Entry 6:
HfZr2Ge2 | PBEsol | relaxed

Formation energy from the elements (eV/atom): -0.868

```
HfZr2Ge2
1.0
7.1182 0.0000 0.0000
0.0000 7.1182 0.0000
0.0000 0.0000 3.6875
Hf Zr Ge
2 4 4
direct
0.0000 0.0000 0.0000
0.5000 0.5000 0.0000
0.1708 0.3292 0.5000
0.3292 0.8292 0.5000
0.6708 0.1708 0.5000
0.8292 0.6708 0.5000
0.1299 0.6299 0.0000
0.3701 0.1299 0.0000
0.6299 0.8701 0.0000
0.8701 0.3701 0.0000
```

Entry 7:
Hf2ZrGe2 | PBEsol | relaxed

Formation energy from the elements (eV/atom): -0.800

```
Hf2ZrGe2
1.0
7.1180 0.0000 0.0000
0.0000 7.1180 0.0000
0.0000 0.0000 3.6444
Hf Zr Ge
4 2 4
direct
0.1713 0.3287 0.0000
0.3287 0.8287 0.0000
0.6713 0.1713 0.0000
0.8287 0.6713 0.0000
0.0000 0.0000 0.5000
0.5000 0.5000 0.5000
0.1293 0.6293 0.5000
0.3707 0.1293 0.5000
0.6293 0.8707 0.5000
0.8707 0.3707 0.5000
```

Entry 8:
HfZrGe2 | PBEsol | relaxed

Formation energy from the elements (eV/atom): -0.404

```
HfZrGe2
1.0
6.6304 0.0000 0.0000
0.0000 6.6304 0.0000
0.0000 0.0000 6.6304
Hf Zr Ge
4 4 8
direct
0.0000 0.0000 0.0000
0.0000 0.5000 0.5000
0.5000 0.0000 0.5000
0.5000 0.5000 0.0000
0.0000 0.0000 0.5000
0.0000 0.5000 0.0000
0.5000 0.0000 0.0000
0.5000 0.5000 0.5000
0.2500 0.2500 0.2500
0.2500 0.2500 0.7500
0.2500 0.7500 0.2500
0.2500 0.7500 0.7500
0.7500 0.2500 0.2500
0.7500 0.2500 0.7500
0.7500 0.7500 0.2500
0.7500 0.7500 0.7500
```

Number 1: volume 136 Å³ per cell, Fermi-level density of states 0.7578 states/eV per atom, E -26.08 eV per cell. Number 2: volume 175 Å³ per cell, Fermi-level density of states 0.9972 states/eV per atom, E -85.96 eV per cell. Number 3: volume 190 Å³ per cell, Fermi-level density of states 1.2286 states/eV per atom, E -113.31 eV per cell. Number 4: volume 318 Å³ per cell, Fermi-level density of states 1.5111 states/eV per atom, E -115.57 eV per cell. Number 5: volume 282 Å³ per cell, Fermi-level density of states 1.1175 states/eV per atom, E -114.25 eV per cell. Number 6: volume 187 Å³ per cell, Fermi-level density of states 0.8686 states/eV per atom, E -85.80 eV per cell. Number 7: volume 185 Å³ per cell, Fermi-level density of states 0.7746 states/eV per atom, E -87.95 eV per cell. Number 8: volume 291 Å³ per cell, Fermi-level density of states 1.5370 states/eV per atom, E -124.34 eV per cell.